DFT (GGA+U) results for a relaxed structure of Cs2CrCl6F.

Cell: 7.597 7.597 7.597 Å, 123.27 123.27 84.43°
Element x y z (fractional)
Cs1 0.250 0.750 0.500
Cs2 0.750 0.250 0.500
Cr1 0.000 0.000 0.000
Cl1 0.209 0.209 0.000
Cl2 0.227 0.227 0.453
Cl3 0.227 0.773 0.000
Cl4 0.773 0.227 0.000
Cl5 0.773 0.773 0.547
Cl6 0.791 0.791 0.000
F1 0.500 0.500 0.000

## Properties
**Space-group type**: I4/mmm
**Calculated total energy**: -3.40 eV/atom
**Density of states at the Fermi level**: 0.7320 states/eV/atom

DFT (GGA+U) results for a relaxed structure of CsCrClF2.

Cell: 4.436 4.436 5.304 Å, 90.00 90.00 90.00°
Element x y z (fractional)
Cs1 0.000 0.000 0.000
Cr1 0.500 0.500 0.500
Cl1 0.500 0.500 0.000
F1 0.000 0.500 0.500
F2 0.500 0.000 0.500

## Properties
**Space-group type**: P4/mmm
**Calculated total energy**: -4.96 eV/atom

- Number 2 is which compound?
  CsCrClF2